The following is a DFT calculation (GGA+U) of an optimized crystal structure of Li4MnCo2O7.

Cell: 5.0975 7.6704 7.7061 Å, 60.97 71.78 77.82°
Last column: nearest neighbours and their distance in Å.
Space group P1 (No. 1)
Symmetry-distinct sites (fractional):
Li 0.0000 0.0000 0.0000 (multiplicity 1)  6 O 2.02-2.25
Li 0.0014 0.4274 0.7090 (multiplicity 1)  6 O 2.08-2.18
Li 0.0057 0.7080 0.8563 (multiplicity 1)  6 O 2.08-2.24
Li 0.0073 0.2732 0.1505 (multiplicity 1)  6 O 2.09-2.24
Li 0.0092 0.8629 0.4144 (multiplicity 1)  6 O 2.13-2.31
Li 0.0109 0.1394 0.5648 (multiplicity 1)  6 O 2.02-2.23
Li 0.0132 0.5730 0.2779 (multiplicity 1)  5 O 2.01-2.23
Li 0.5096 0.0679 0.2811 (multiplicity 1)  6 O 2.08-2.15
Mn 0.4969 0.2104 0.8589 (multiplicity 1)  6 O 1.91-2.00
Mn 0.5017 0.4926 0.0023 (multiplicity 1)  6 O 1.91-2.01
Co 0.5014 0.9271 0.7023 (multiplicity 1)  6 O 1.92-2.09
Co 0.5073 0.6428 0.5661 (multiplicity 1)  5 O 1.92-2.10
Co 0.5114 0.3453 0.4219 (multiplicity 1)  6 O 1.90-2.08
Co 0.5163 0.7894 0.1472 (multiplicity 1)  3 O 1.86-2.06
O 0.2741 0.1788 0.7111 (multiplicity 1)  1 Mn 1.96, 2 Co 2.05-2.07, 3 Li 2.11-2.17
O 0.2749 0.4476 0.8664 (multiplicity 1)  2 Mn 1.95-1.96, 2 Li 2.12-2.15, 1 Co 2.16
O 0.2757 0.0387 0.1161 (multiplicity 1)  1 Mn 1.91, 1 Co 1.99, 3 Li 2.02-2.10
O 0.2756 0.3364 0.2669 (multiplicity 1)  1 Mn 1.91, 1 Co 1.97, 3 Li 2.04-2.12
O 0.2759 0.8730 0.5786 (multiplicity 1)  2 Co 1.92-1.93, 1 Li 2.08
O 0.2879 0.6008 0.4285 (multiplicity 1)  3 Co 1.92-2.06, 1 Li 2.15
O 0.2894 0.7358 0.9959 (multiplicity 1)  1 Mn 1.94, 2 Co 2.09, 2 Li 2.11-2.15
O 0.7177 0.3935 0.5852 (multiplicity 1)  2 Co 1.95-2.07, 1 Mn 2.00, 1 Li 2.08
O 0.7223 0.2587 0.9882 (multiplicity 1)  2 Mn 1.92-1.94, 2 Li 2.08-2.12
O 0.7231 0.6663 0.7223 (multiplicity 1)  2 Co 1.95-2.04, 1 Mn 2.01, 2 Li 2.09-2.17
O 0.7277 0.9774 0.8510 (multiplicity 1)  1 Mn 1.94, 2 Co 2.06-2.09, 2 Li 2.14
O 0.7356 0.5289 0.1312 (multiplicity 1)  1 Mn 1.91, 2 Co 2.08-2.11, 2 Li 2.10-2.12
O 0.7438 0.1119 0.4355 (multiplicity 1)  2 Co 1.90-2.02, 3 Li 2.02-2.10
O 0.7538 0.8116 0.2746 (multiplicity 1)  1 Co 1.86, 2 Li 2.01-2.07

Calculated values
size of the total moment	7.999	μB/cell
distance to the lowest polymorph of the same formula	45.1	meV per atom

---

The following is a DFT calculation (GGA+U) of an optimized crystal structure of LiMn4Co2O12.

Cell: 4.9857 4.9860 10.1503 Å, 91.26 90.70 119.92°
Last column: nearest neighbours and their distance in Å.
Space group P1 (No. 1)
Symmetry-distinct sites (fractional):
Li 0.0000 0.0000 0.0000 (multiplicity 1)  5 O 2.11-2.28
Mn 0.2909 0.6173 0.7529 (multiplicity 1)  6 O 1.92-1.96
Mn 0.5846 0.9215 0.2532 (multiplicity 1)  6 O 1.92-1.97
Mn 0.6245 0.2838 0.7529 (multiplicity 1)  6 O 1.92-1.96
Mn 0.9182 0.5879 0.2532 (multiplicity 1)  6 O 1.92-1.97
Co 0.2540 0.2573 0.2555 (multiplicity 1)  6 O 1.89-1.94
Co 0.9566 0.9492 0.7442 (multiplicity 1)  6 O 1.90-1.93
O 0.2410 0.9206 0.1548 (multiplicity 1)  1 Co 1.92, 2 Mn 1.95-1.97, 1 Li 2.13
O 0.2587 0.5943 0.3475 (multiplicity 1)  1 Co 1.89, 2 Mn 1.92
O 0.2847 0.2789 0.8491 (multiplicity 1)  1 Co 1.93, 2 Mn 1.96, 1 Li 2.11
O 0.2872 0.9429 0.6565 (multiplicity 1)  1 Co 1.90, 2 Mn 1.92-1.93
O 0.5788 0.5807 0.1561 (multiplicity 1)  2 Mn 1.93, 1 Co 1.94
O 0.5897 0.2632 0.3475 (multiplicity 1)  1 Co 1.89, 2 Mn 1.92
O 0.6157 0.6072 0.6564 (multiplicity 1)  1 Co 1.90, 2 Mn 1.92
O 0.6422 0.9578 0.8489 (multiplicity 1)  1 Co 1.92, 2 Mn 1.95
O 0.9187 0.2431 0.1548 (multiplicity 1)  1 Co 1.92, 2 Mn 1.95-1.97, 1 Li 2.13
O 0.9270 0.9316 0.3477 (multiplicity 1)  1 Co 1.91, 2 Mn 1.93
O 0.9514 0.2787 0.6565 (multiplicity 1)  1 Co 1.90, 2 Mn 1.92-1.93
O 0.9636 0.6361 0.8489 (multiplicity 1)  1 Co 1.92, 2 Mn 1.95

Calculated values
size of the total moment	13.000	μB/cell
D(E_F)	5.49	states/eV per cell
distance to the lowest polymorph of the same formula	0.0	meV per atom

---

The following is a DFT calculation (GGA+U) of an optimized crystal structure of Li4MnCo2O7.

Cell: 2.9209 5.0579 16.6058 Å, 88.66 87.21 88.92°
Last column: nearest neighbours and their distance in Å.
Space group P1 (No. 1)
Symmetry-distinct sites (fractional):
Li 0.0000 0.0000 0.0000 (multiplicity 1)  6 O 2.05-2.19
Li 0.0429 0.3342 0.8625 (multiplicity 1)  5 O 1.99-2.20
Li 0.2262 0.0595 0.5692 (multiplicity 1)  5 O 2.09-2.15
Li 0.3662 0.7713 0.2851 (multiplicity 1)  6 O 2.08-2.19
Li 0.4914 0.4690 0.0022 (multiplicity 1)  6 O 2.08-2.32
Li 0.6386 0.2091 0.7116 (multiplicity 1)  5 O 2.07-2.14
Li 0.8220 0.9221 0.4256 (multiplicity 1)  6 O 2.07-2.17
Li 0.9478 0.6352 0.1437 (multiplicity 1)  5 O 2.00-2.13
Mn 0.5412 0.8458 0.8623 (multiplicity 1)  6 O 1.83-2.02
Mn 0.7383 0.5651 0.5678 (multiplicity 1)  4 O 1.93-1.99
Co 0.1195 0.6986 0.7146 (multiplicity 1)  4 O 1.89-1.95
Co 0.3220 0.4216 0.4245 (multiplicity 1)  6 O 1.93-1.98
Co 0.4320 0.1218 0.1400 (multiplicity 1)  2 O 1.74-1.88
Co 0.8613 0.2672 0.2858 (multiplicity 1)  6 O 1.91-1.95
O 0.0270 0.6830 0.9220 (multiplicity 1)  2 Mn 1.93-1.94, 2 Li 2.04-2.08
O 0.0602 0.9864 0.7910 (multiplicity 1)  1 Co 1.95, 2 Mn 1.99-2.01, 2 Li 2.14
O 0.1548 0.3984 0.6427 (multiplicity 1)  1 Mn 1.95, 1 Co 1.95, 3 Li 2.07-2.13
O 0.3191 0.7284 0.4948 (multiplicity 1)  1 Mn 1.93, 1 Co 1.96, 3 Li 2.07-2.11
O 0.3464 0.1282 0.3525 (multiplicity 1)  3 Co 1.93-1.95, 2 Li 2.13-2.14
O 0.3756 0.4060 0.2198 (multiplicity 1)  3 Co 1.95-1.98, 2 Li 2.13-2.16
O 0.4630 0.8393 0.0823 (multiplicity 1)  1 Co 1.74
O 0.5236 0.1434 0.9229 (multiplicity 1)  1 Mn 1.83, 3 Li 1.99-2.05
O 0.5482 0.5455 0.7839 (multiplicity 1)  1 Co 1.89, 1 Mn 2.02, 1 Li 2.11
O 0.7023 0.8669 0.6431 (multiplicity 1)  1 Co 1.92, 1 Mn 1.99, 2 Li 2.09-2.11
O 0.8064 0.2714 0.4910 (multiplicity 1)  2 Co 1.97-1.98, 1 Mn 1.98, 2 Li 2.09
O 0.8372 0.5624 0.3585 (multiplicity 1)  3 Co 1.94-1.95, 2 Li 2.13-2.15
O 0.8633 0.9725 0.2155 (multiplicity 1)  2 Co 1.91-1.95, 3 Li 2.08-2.14
O 0.9921 0.3035 0.0803 (multiplicity 1)  2 Co 1.88-2.09, 3 Li 2.00-2.08

Calculated values
size of the total moment	12.002	μB/cell
D(E_F)	0.49	states/eV per cell
distance to the lowest polymorph of the same formula	59.6	meV per atom

---

The following is a DFT calculation (GGA+U) of an optimized crystal structure of Li7Mn4CoO12.

Cell: 2.9765 7.7470 9.8259 Å, 93.14 96.43 98.78°
Last column: nearest neighbours and their distance in Å.
Space group P1 (No. 1)
Symmetry-distinct sites (fractional):
Li 0.0000 0.0000 0.0000 (multiplicity 1)  3 O 1.96-2.15
Li 0.0828 0.4138 0.7628 (multiplicity 1)  6 O 2.06-2.24
Li 0.1846 0.8327 0.5237 (multiplicity 1)  6 O 2.01-2.25
Li 0.2757 0.6454 0.9881 (multiplicity 1)  3 O 1.94-2.08
Li 0.4962 0.4799 0.5292 (multiplicity 1)  3 O 1.98-2.21
Li 0.6291 0.3372 0.9816 (multiplicity 1)  4 O 2.02-2.24
Li 0.8692 0.1665 0.5287 (multiplicity 1)  3 O 1.96-2.12
Mn 0.2408 0.2464 0.2577 (multiplicity 1)  4 O 1.94-2.02
Mn 0.5825 0.9117 0.2602 (multiplicity 1)  6 O 1.93-2.00
Mn 0.7427 0.7396 0.7616 (multiplicity 1)  6 O 1.87-2.01
Mn 0.9223 0.5781 0.2609 (multiplicity 1)  4 O 1.94-2.02
Co 0.4163 0.0992 0.7550 (multiplicity 1)  2 O 1.81-1.98
O 0.0099 0.1909 0.8772 (multiplicity 1)  4 Li 1.96-2.13, 2 Co 1.98-2.03
O 0.1583 0.6370 0.6496 (multiplicity 1)  2 Mn 1.97-1.98, 3 Li 2.01-2.10
O 0.1695 0.0319 0.3663 (multiplicity 1)  3 Mn 2.00-2.02, 1 Li 2.20
O 0.2648 0.4503 0.1447 (multiplicity 1)  2 Mn 1.94-1.98
O 0.3362 0.8583 0.8669 (multiplicity 1)  2 Mn 1.97-2.01, 2 Li 2.08-2.09
O 0.4501 0.2703 0.6365 (multiplicity 1)  1 Co 1.81, 3 Li 1.96-1.98
O 0.5812 0.1071 0.1466 (multiplicity 1)  2 Mn 1.93-1.96, 1 Li 2.15
O 0.5829 0.7153 0.3731 (multiplicity 1)  2 Mn 1.93-1.95
O 0.7008 0.5545 0.8758 (multiplicity 1)  1 Mn 1.87, 4 Li 1.94-2.06
O 0.7954 0.9482 0.6503 (multiplicity 1)  1 Mn 2.00, 3 Li 2.05-2.13, 2 Co 2.06-2.15
O 0.9022 0.3748 0.3753 (multiplicity 1)  2 Mn 1.94-1.98
O 0.9968 0.7935 0.1539 (multiplicity 1)  3 Mn 1.99-2.02

Calculated values
size of the total moment	18.000	μB/cell
D(E_F)	3.98	states/eV per cell
distance to the lowest polymorph of the same formula	58.4	meV per atom

---

The following is a DFT calculation (GGA+U) of an optimized crystal structure of Li4MnCo2O7.

Cell: 19.4151 2.8418 9.7112 Å, 90.00 112.23 90.00°
Last column: nearest neighbours and their distance in Å.
Space group Cm (No. 8)
Symmetry-distinct sites (fractional):
Li 0.0000 0.0000 0.0000 (multiplicity 2)  6 O 2.05-2.17
Li 0.0053 0.5000 0.5110 (multiplicity 2)  6 O 2.05-2.20
Li 0.0684 0.5000 0.2891 (multiplicity 2)  4 O 1.97-2.16
Li 0.1347 0.0000 0.5645 (multiplicity 2)  5 O 2.06-2.20
Li 0.2112 0.5000 0.8339 (multiplicity 2)  5 O 2.00-2.17
Li 0.2963 0.0000 0.1542 (multiplicity 2)  5 O 2.03-2.14
Li 0.3820 0.5000 0.4629 (multiplicity 2)  5 O 1.95-2.16
Li 0.4354 0.0000 0.7198 (multiplicity 2)  6 O 1.97-2.20
Mn 0.1413 0.5000 0.0576 (multiplicity 2)  6 O 1.92-2.02
Mn 0.2168 0.0000 0.3582 (multiplicity 2)  4 O 1.94-1.99
Co 0.0726 0.0000 0.7779 (multiplicity 2)  5 O 1.86-1.97
Co 0.2924 0.5000 0.6499 (multiplicity 2)  5 O 1.95-2.15
Co 0.3623 0.0000 0.9408 (multiplicity 2)  6 O 1.93-2.15
Co 0.4377 0.5000 0.2308 (multiplicity 2)  5 O 1.80-1.92
O 0.0281 0.0000 0.3777 (multiplicity 2)  1 Co 1.80, 2 Li 1.97
O 0.0477 0.5000 0.8924 (multiplicity 2)  1 Mn 1.92, 2 Co 1.97
O 0.1061 0.5000 0.6867 (multiplicity 2)  2 Co 1.91, 4 Li 2.00-2.06
O 0.1082 0.0000 0.1515 (multiplicity 2)  2 Mn 1.93, 1 Li 2.06
O 0.1742 0.0000 0.9605 (multiplicity 2)  2 Mn 1.94, 1 Co 2.09, 2 Li 2.17
O 0.1813 0.5000 0.4505 (multiplicity 2)  2 Mn 1.94, 1 Li 2.16
O 0.2383 0.5000 0.2360 (multiplicity 2)  3 Mn 1.99-2.02, 2 Li 2.14
O 0.2598 0.0000 0.7494 (multiplicity 2)  3 Co 1.95-2.15, 2 Li 2.04
O 0.3230 0.0000 0.5458 (multiplicity 2)  2 Co 1.96, 2 Li 2.16, 1 Mn 2.17
O 0.3376 0.5000 0.0497 (multiplicity 2)  3 Co 1.94-2.07, 2 Li 2.08
O 0.3937 0.5000 0.8436 (multiplicity 2)  3 Co 1.93-2.15, 1 Li 2.05
O 0.4006 0.0000 0.3149 (multiplicity 2)  2 Co 1.91, 1 Li 2.03
O 0.4644 0.0000 0.1273 (multiplicity 2)  3 Co 1.92-2.12, 1 Li 2.04
O 0.4768 0.5000 0.6327 (multiplicity 2)  1 Co 1.86, 5 Li 1.95-2.05

Calculated values
size of the total moment	16.043	μB/cell
D(E_F)	3.70	states/eV per cell
distance to the lowest polymorph of the same formula	86.7	meV per atom

---

The following is a DFT calculation (GGA+U) of an optimized crystal structure of Li5MnCo2O8.

Cell: 9.7965 2.8828 10.2550 Å, 90.00 99.16 90.00°
Last column: nearest neighbours and their distance in Å.
Space group C2/m (No. 12)
Symmetry-distinct sites (fractional):
Li 0.0000 0.0000 0.0000 (multiplicity 2)  6 O 2.11-2.15
Li 0.2384 0.5000 0.1121 (multiplicity 4)  5 O 2.05-2.16
Li 0.2477 0.0000 0.3684 (multiplicity 4)  6 O 2.02-2.20
Mn 0.0000 0.0000 0.5000 (multiplicity 2)  6 O 1.94
Co 0.0104 0.5000 0.7706 (multiplicity 4)  3 O 1.78-1.95
O 0.1059 0.0000 0.6771 (multiplicity 4)  1 Mn 1.94, 2 Co 2.04, 2 Li 2.14
O 0.1127 0.5000 0.4477 (multiplicity 4)  2 Mn 1.94, 1 Li 2.15
O 0.1140 0.0000 0.1968 (multiplicity 4)  2 Co 1.95, 4 Li 2.02-2.16
O 0.1236 0.5000 0.9247 (multiplicity 4)  1 Co 1.78

Calculated values
size of the total moment	20.000	μB/cell
D(E_F)	11.56	states/eV per cell
distance to the lowest polymorph of the same formula	48.0	meV per atom

---

| no. | uncorrected energy (eV per atom) |
| --- | --- |
| 1 | -5.837 |
| 2 | -6.574 |
| 3 | -5.822 |
| 4 | -6.176 |
| 5 | -5.795 |
| 6 | -5.701 |